! KH3Se2O6 meta-GGA SCAN PBEsol geometry; values from VASP
&SYSTEM
  ibrav = 0, nat = 48, ntyp = 4
/
ATOMIC_SPECIES
H 1.01 H.upf
K 39.10 K.upf
O 16.00 O.upf
Se 78.96 Se.upf
CELL_PARAMETERS angstrom
-1.8120 1.1895 5.8176
-3.5141 -5.2275 -0.0257
12.3314 -8.3170 5.5413
ATOMIC_POSITIONS crystal
H 0.5519 0.5277 0.1706
H 0.9481 0.0277 0.3294
H 0.5519 0.9723 0.8294
H 0.9481 0.4723 0.6706
H 0.4481 0.4723 0.8294
H 0.0519 0.9723 0.6706
H 0.4481 0.0277 0.1706
H 0.0519 0.5277 0.3294
H 0.8775 0.7500 0.0000
H 0.6225 0.2500 0.5000
H 0.1225 0.2500 0.0000
H 0.3775 0.7500 0.5000
K 0.8107 0.7500 0.5000
K 0.6893 0.2500 0.0000
K 0.1893 0.2500 0.5000
K 0.3107 0.7500 0.0000
O 0.6048 0.9351 0.1119
O 0.8952 0.4351 0.3881
O 0.6048 0.5649 0.8881
O 0.8952 0.0649 0.6119
O 0.3952 0.0649 0.8881
O 0.1048 0.5649 0.6119
O 0.3952 0.4351 0.1119
O 0.1048 0.9351 0.3881
O 0.8887 0.6466 0.0647
O 0.6113 0.1466 0.4353
O 0.8887 0.8534 0.9353
O 0.6113 0.3534 0.5647
O 0.1113 0.3534 0.9353
O 0.3887 0.8534 0.5647
O 0.1113 0.1466 0.0647
O 0.3887 0.6466 0.4353
O 0.6753 0.5917 0.2092
O 0.8247 0.0917 0.2908
O 0.6753 0.9083 0.7908
O 0.8247 0.4083 0.7092
O 0.3247 0.4083 0.7908
O 0.1753 0.9083 0.7092
O 0.3247 0.0917 0.2092
O 0.1753 0.5917 0.2908
Se 0.8113 0.7929 0.1529
Se 0.6887 0.2929 0.3471
Se 0.8113 0.7071 0.8471
Se 0.6887 0.2071 0.6529
Se 0.1887 0.2071 0.8471
Se 0.3113 0.7071 0.6529
Se 0.1887 0.2929 0.1529
Se 0.3113 0.7929 0.3471
! Total magnetic moment: 0.00 μB/f.u.
! E: -9.1529 eV per atom
! Space-group type: No. 60
! Fermi-level density of states: 0.0 states/eV per cell

=====

! KH3Se2O8 meta-GGA SCAN PBEsol geometry; values from VASP
&SYSTEM
  ibrav = 0, nat = 56, ntyp = 4
/
ATOMIC_SPECIES
K 39.10 K.upf
H 1.01 H.upf
Se 78.96 Se.upf
O 16.00 O.upf
CELL_PARAMETERS angstrom
7.8470 -0.0458 0.0000
-3.1931 8.2337 0.0000
0.0000 0.0000 11.9612
ATOMIC_POSITIONS crystal
K 0.8537 0.9468 0.7546
K 0.1463 0.5532 0.2546
K 0.1463 0.0532 0.2454
K 0.8537 0.4468 0.7454
H 0.2287 0.4982 0.5850
H 0.7713 0.0018 0.0850
H 0.7713 0.5018 0.4150
H 0.2287 0.9982 0.9150
H 0.3378 0.1962 0.5663
H 0.6622 0.3038 0.0663
H 0.6622 0.8038 0.4337
H 0.3378 0.6962 0.9337
H 0.2424 0.8416 0.6271
H 0.7576 0.6584 0.1271
H 0.7576 0.1584 0.3729
H 0.2424 0.3416 0.8729
Se 0.0592 0.2573 0.5014
Se 0.9408 0.2427 0.0014
Se 0.9408 0.7427 0.4986
Se 0.0592 0.7573 0.9986
Se 0.4258 0.0734 0.7167
Se 0.5742 0.4266 0.2167
Se 0.5742 0.9266 0.2833
Se 0.4258 0.5734 0.7833
O 0.9557 0.2387 0.3785
O 0.0443 0.2613 0.8785
O 0.0443 0.7613 0.6215
O 0.9557 0.7387 0.1215
O 0.9270 0.2160 0.6113
O 0.0730 0.2840 0.1113
O 0.0730 0.7840 0.3887
O 0.9270 0.7160 0.8887
O 0.1950 0.1497 0.4942
O 0.8050 0.3503 0.9942
O 0.8050 0.8503 0.5058
O 0.1950 0.6497 0.0058
O 0.1979 0.4621 0.5019
O 0.8021 0.0379 0.0019
O 0.8021 0.5379 0.4981
O 0.1979 0.9621 0.9981
O 0.2414 0.0424 0.7936
O 0.7586 0.4576 0.2936
O 0.7586 0.9576 0.2064
O 0.2414 0.5424 0.7064
O 0.6192 0.1168 0.7812
O 0.3808 0.3832 0.2812
O 0.3808 0.8832 0.2188
O 0.6192 0.6168 0.7188
O 0.4526 0.2300 0.6263
O 0.5474 0.2700 0.1263
O 0.5474 0.7700 0.3737
O 0.4526 0.7300 0.8737
O 0.3866 0.9029 0.6360
O 0.6134 0.5971 0.1360
O 0.6134 0.0971 0.3640
O 0.3866 0.4029 0.8640
! Total magnetic moment: 0.09 μB/f.u.
! E: -8.7605 eV per atom
! Space-group type: No. 14
! Fermi-level density of states: 0.0 states/eV per cell

=====

! KVH6SeO9 meta-GGA SCAN PBEsol geometry; values from VASP
&SYSTEM
  ibrav = 0, nat = 36, ntyp = 5
/
ATOMIC_SPECIES
K 39.10 K.upf
V 50.94 V.upf
H 1.01 H.upf
Se 78.96 Se.upf
O 16.00 O.upf
CELL_PARAMETERS angstrom
6.3505 0.0428 0.0000
-1.9687 6.2437 0.0000
0.0000 0.0000 9.8025
ATOMIC_POSITIONS crystal
K 0.6746 0.1709 0.8401
K 0.3254 0.8291 0.3401
V 0.3764 0.6045 0.9945
V 0.6236 0.3955 0.4945
H 0.2298 0.3055 0.7844
H 0.7702 0.6945 0.2844
H 0.8910 0.0754 0.1638
H 0.1090 0.9246 0.6638
H 0.0300 0.3131 0.1437
H 0.9700 0.6869 0.6437
H 0.3068 0.7305 0.7278
H 0.6932 0.2695 0.2278
H 0.1832 0.1722 0.9175
H 0.8168 0.8278 0.4175
H 0.4671 0.3479 0.2279
H 0.5329 0.6521 0.7279
Se 0.9173 0.7318 0.9934
Se 0.0827 0.2682 0.4934
O 0.5499 0.1505 0.5498
O 0.4501 0.8495 0.0498
O 0.6915 0.5429 0.6350
O 0.3085 0.4571 0.1350
O 0.5647 0.2868 0.2855
O 0.4353 0.7132 0.7855
O 0.7067 0.7006 0.3771
O 0.2933 0.2994 0.8771
O 0.0709 0.5772 0.9384
O 0.9291 0.4228 0.4384
O 0.6650 0.5581 0.9664
O 0.3350 0.4419 0.4664
O 0.9599 0.9457 0.8983
O 0.0401 0.0543 0.3983
O 0.0465 0.2087 0.6570
O 0.9535 0.7913 0.1570
O 0.8757 0.2164 0.1387
O 0.1243 0.7836 0.6387
! Total magnetic moment: 0.07 μB/f.u.
! E: -8.2087 eV per atom
! Space-group type: No. 4
! Fermi-level density of states: 0.0 states/eV per cell

=====

! KSr4Si8H17O29 meta-GGA SCAN PBEsol geometry; values from VASP
&SYSTEM
  ibrav = 0, nat = 118, ntyp = 5
/
ATOMIC_SPECIES
K 39.10 K.upf
Sr 87.62 Sr.upf
Si 28.09 Si.upf
H 1.01 H.upf
O 16.00 O.upf
CELL_PARAMETERS angstrom
9.0803 0.0000 0.0000
0.0000 9.0803 0.0000
0.0000 0.0000 16.2829
ATOMIC_POSITIONS crystal
K 0.0000 0.0000 0.5007
K 0.5000 0.5000 0.0007
Sr 0.3859 0.2380 0.5015
Sr 0.6141 0.7620 0.5015
Sr 0.1141 0.7380 0.0015
Sr 0.8859 0.2620 0.0015
Sr 0.2380 0.6141 0.5015
Sr 0.7620 0.3859 0.5015
Sr 0.7380 0.8859 0.0015
Sr 0.2620 0.1141 0.0015
Si 0.5896 0.2746 0.3095
Si 0.4104 0.7254 0.3095
Si 0.9104 0.7746 0.8095
Si 0.0896 0.2254 0.8095
Si 0.2746 0.4104 0.3095
Si 0.7254 0.5896 0.3095
Si 0.7746 0.0896 0.8095
Si 0.2254 0.9104 0.8095
Si 0.4109 0.7256 0.6897
Si 0.5891 0.2744 0.6897
Si 0.0891 0.2256 0.1897
Si 0.9109 0.7744 0.1897
Si 0.7256 0.5891 0.6897
Si 0.2744 0.4109 0.6897
Si 0.2256 0.9109 0.1897
Si 0.7744 0.0891 0.1897
H 0.6775 0.0683 0.4068
H 0.3225 0.9317 0.4068
H 0.8225 0.5683 0.9068
H 0.1775 0.4317 0.9068
H 0.0683 0.3225 0.4068
H 0.9317 0.6775 0.4068
H 0.5683 0.1775 0.9068
H 0.4317 0.8225 0.9068
H 0.3201 0.9337 0.5947
H 0.6799 0.0663 0.5947
H 0.1799 0.4337 0.0947
H 0.8201 0.5663 0.0947
H 0.9337 0.6799 0.5947
H 0.0663 0.3201 0.5947
H 0.4337 0.8201 0.0947
H 0.5663 0.1799 0.0947
H 0.2600 0.0617 0.6517
H 0.7400 0.9383 0.6517
H 0.2400 0.5617 0.1517
H 0.7600 0.4383 0.1517
H 0.0617 0.7400 0.6517
H 0.9383 0.2600 0.6517
H 0.5617 0.7600 0.1517
H 0.4383 0.2400 0.1517
H 0.7354 0.9393 0.3503
H 0.2646 0.0607 0.3503
H 0.7646 0.4393 0.8503
H 0.2354 0.5607 0.8503
H 0.9393 0.2646 0.3503
H 0.0607 0.7354 0.3503
H 0.4393 0.2354 0.8503
H 0.5607 0.7646 0.8503
H 0.5000 0.5000 0.4353
H 0.0000 0.0000 0.9353
O 0.2728 0.0359 0.5936
O 0.7272 0.9641 0.5936
O 0.2272 0.5359 0.0936
O 0.7728 0.4641 0.0936
O 0.0359 0.7272 0.5936
O 0.9641 0.2728 0.5936
O 0.5359 0.7728 0.0936
O 0.4641 0.2272 0.0936
O 0.7236 0.9657 0.4084
O 0.2764 0.0343 0.4084
O 0.7764 0.4657 0.9084
O 0.2236 0.5343 0.9084
O 0.9657 0.2764 0.4084
O 0.0343 0.7236 0.4084
O 0.4657 0.2236 0.9084
O 0.5343 0.7764 0.9084
O 0.4184 0.3102 0.2831
O 0.5816 0.6898 0.2831
O 0.0816 0.8102 0.7831
O 0.9184 0.1898 0.7831
O 0.3102 0.5816 0.2831
O 0.6898 0.4184 0.2831
O 0.8102 0.9184 0.7831
O 0.1898 0.0816 0.7831
O 0.5821 0.6899 0.7153
O 0.4179 0.3101 0.7153
O 0.9179 0.1899 0.2153
O 0.0821 0.8101 0.2153
O 0.6899 0.4179 0.7153
O 0.3101 0.5821 0.7153
O 0.1899 0.0821 0.2153
O 0.8101 0.9179 0.2153
O 0.6406 0.1393 0.2503
O 0.3594 0.8607 0.2503
O 0.8594 0.6393 0.7503
O 0.1406 0.3607 0.7503
O 0.1393 0.3594 0.2503
O 0.8607 0.6406 0.2503
O 0.6393 0.1406 0.7503
O 0.3607 0.8594 0.7503
O 0.6069 0.2317 0.4046
O 0.3931 0.7683 0.4046
O 0.8931 0.7317 0.9046
O 0.1069 0.2683 0.9046
O 0.2317 0.3931 0.4046
O 0.7683 0.6069 0.4046
O 0.7317 0.1069 0.9046
O 0.2683 0.8931 0.9046
O 0.3923 0.7719 0.5952
O 0.6077 0.2281 0.5952
O 0.1077 0.2719 0.0952
O 0.8923 0.7281 0.0952
O 0.7719 0.6077 0.5952
O 0.2281 0.3923 0.5952
O 0.2719 0.8923 0.0952
O 0.7281 0.1077 0.0952
O 0.5000 0.5000 0.4954
O 0.0000 0.0000 0.9954
! Total magnetic moment: 0.12 μB/f.u.
! E: -9.3224 eV per atom
! Space-group type: No. 104
! Fermi-level density of states: 0.0 states/eV per cell

=====

! K2TiSi3H2O10 meta-GGA SCAN PBEsol geometry; values from VASP
&SYSTEM
  ibrav = 0, nat = 72, ntyp = 5
/
ATOMIC_SPECIES
K 39.10 K.upf
Ti 47.87 Ti.upf
Si 28.09 Si.upf
H 1.01 H.upf
O 16.00 O.upf
CELL_PARAMETERS angstrom
7.1540 0.0000 0.0000
0.0000 9.9105 0.0000
0.0000 0.0000 12.9606
ATOMIC_POSITIONS crystal
K 0.1293 0.7840 0.6288
K 0.2063 0.9373 0.9192
K 0.2937 0.0627 0.4192
K 0.3707 0.2160 0.1288
K 0.6293 0.7160 0.3712
K 0.7063 0.5627 0.0808
K 0.7937 0.4373 0.5808
K 0.8707 0.2840 0.8712
Ti 0.2386 0.4546 0.7100
Ti 0.2614 0.5454 0.2100
Ti 0.7386 0.0454 0.2900
Ti 0.7614 0.9546 0.7900
Si 0.0024 0.8183 0.1738
Si 0.0861 0.1404 0.6664
Si 0.2294 0.5372 0.9530
Si 0.2706 0.4628 0.4530
Si 0.4139 0.8596 0.1664
Si 0.4976 0.1817 0.6738
Si 0.5024 0.6817 0.8262
Si 0.5861 0.3596 0.3336
Si 0.7294 0.9628 0.0470
Si 0.7706 0.0372 0.5470
Si 0.9139 0.6404 0.8336
Si 0.9976 0.3183 0.3262
H 0.0297 0.8448 0.3764
H 0.1686 0.7239 0.4006
H 0.3314 0.2761 0.9006
H 0.4703 0.1552 0.8764
H 0.5297 0.6552 0.6236
H 0.6686 0.7761 0.5994
H 0.8314 0.2239 0.0994
H 0.9703 0.3448 0.1236
O 0.0072 0.5576 0.7392
O 0.0130 0.5947 0.9436
O 0.0512 0.6601 0.1892
O 0.0723 0.3013 0.6869
O 0.1059 0.3815 0.2275
O 0.1329 0.3323 0.4283
O 0.1270 0.8148 0.4271
O 0.1943 0.9051 0.1485
O 0.2219 0.5157 0.5673
O 0.2439 0.5758 0.3626
O 0.2561 0.4242 0.8626
O 0.2781 0.4843 0.0673
O 0.3057 0.0949 0.6485
O 0.3730 0.1852 0.9271
O 0.3671 0.6677 0.9283
O 0.3941 0.6185 0.7275
O 0.4277 0.6987 0.1869
O 0.4488 0.3399 0.6892
O 0.4870 0.4053 0.4436
O 0.4928 0.4424 0.2392
O 0.5072 0.9424 0.2608
O 0.5130 0.9053 0.0564
O 0.5512 0.8399 0.8108
O 0.5723 0.1987 0.3131
O 0.6059 0.1185 0.7725
O 0.6329 0.1677 0.5717
O 0.6270 0.6852 0.5729
O 0.6943 0.5949 0.8515
O 0.7219 0.9843 0.4327
O 0.7439 0.9242 0.6374
O 0.7561 0.0758 0.1374
O 0.7781 0.0157 0.9327
O 0.8057 0.4051 0.3515
O 0.8730 0.3148 0.0729
O 0.8671 0.8323 0.0717
O 0.8941 0.8815 0.2725
O 0.9277 0.8013 0.8131
O 0.9488 0.1601 0.3108
O 0.9870 0.0947 0.5564
O 0.9928 0.0576 0.7608
! Total magnetic moment: 0.00 μB/f.u.
! E: -10.0026 eV per atom
! Space-group type: No. 19
! Fermi-level density of states: 0.0 states/eV per cell

=====

! K2ZrSi3H2O10 meta-GGA SCAN PBEsol geometry; values from VASP
&SYSTEM
  ibrav = 0, nat = 72, ntyp = 5
/
ATOMIC_SPECIES
K 39.10 K.upf
Zr 91.22 Zr.upf
Si 28.09 Si.upf
H 1.01 H.upf
O 16.00 O.upf
CELL_PARAMETERS angstrom
-6.6979 -1.1597 -2.3701
-0.8367 -8.0641 6.3104
-4.7640 7.9758 9.5607
ATOMIC_POSITIONS crystal
K 0.7795 0.9323 0.0811
K 0.2795 0.5677 0.9189
K 0.2205 0.4323 0.4189
K 0.7205 0.0677 0.5811
K 0.8787 0.7756 0.3737
K 0.3787 0.7244 0.6263
K 0.1213 0.2756 0.1263
K 0.6213 0.2244 0.8737
Zr 0.2380 0.9496 0.2074
Zr 0.7380 0.5504 0.7926
Zr 0.7620 0.4496 0.2926
Zr 0.2620 0.0504 0.7074
Si 0.2726 0.9689 0.9499
Si 0.7726 0.5311 0.0501
Si 0.7274 0.4689 0.5501
Si 0.2274 0.0311 0.4499
Si 0.0011 0.8223 0.8271
Si 0.5011 0.6777 0.1729
Si 0.9989 0.3223 0.6729
Si 0.4989 0.1777 0.3271
Si 0.5881 0.8647 0.8350
Si 0.0881 0.6353 0.1650
Si 0.4119 0.3647 0.6650
Si 0.9119 0.1353 0.3350
H 0.8291 0.7264 0.5965
H 0.3291 0.7736 0.4035
H 0.1709 0.2264 0.9035
H 0.6709 0.2736 0.0965
H 0.9632 0.8427 0.6239
H 0.4632 0.6573 0.3761
H 0.0368 0.3427 0.8761
H 0.5368 0.1573 0.1239
O 0.2541 0.9191 0.3646
O 0.7541 0.5809 0.6354
O 0.7459 0.4191 0.1354
O 0.2459 0.0809 0.8646
O 0.0971 0.8835 0.7276
O 0.5971 0.6165 0.2724
O 0.9029 0.3835 0.7724
O 0.4029 0.1165 0.2276
O 0.5052 0.9455 0.7406
O 0.0052 0.5545 0.2594
O 0.4948 0.4455 0.7594
O 0.9948 0.0545 0.2406
O 0.2226 0.0172 0.0615
O 0.7226 0.4828 0.9385
O 0.7774 0.5172 0.4385
O 0.2774 0.9828 0.5615
O 0.1400 0.8417 0.9240
O 0.6400 0.6583 0.0760
O 0.8600 0.3417 0.5760
O 0.3600 0.1583 0.4240
O 0.0639 0.7905 0.1828
O 0.5639 0.7095 0.8172
O 0.9361 0.2905 0.3172
O 0.4361 0.2095 0.6828
O 0.8081 0.9017 0.8548
O 0.3081 0.5983 0.1452
O 0.1919 0.4017 0.6452
O 0.6919 0.0983 0.3548
O 0.4891 0.9149 0.9406
O 0.9891 0.5851 0.0594
O 0.5109 0.4149 0.5594
O 0.0109 0.0851 0.4406
O 0.4620 0.8316 0.1848
O 0.9620 0.6684 0.8152
O 0.5380 0.3316 0.3152
O 0.0380 0.1684 0.6848
O 0.8708 0.8145 0.5722
O 0.3708 0.6855 0.4278
O 0.1292 0.3145 0.9278
O 0.6292 0.1855 0.0722
! Total magnetic moment: 0.00 μB/f.u.
! E: -10.9004 eV per atom
! Space-group type: No. 19
! Fermi-level density of states: 0.0 states/eV per cell